# PaV2Os

A relaxed structure of PaV2Os (PBE, Alexandria via LeMat-Bulk).

POSCAR file:
```
PaV2Os
1.0
6.3406 0.0000 0.0000
0.0000 6.3406 0.0000
0.0000 0.0000 6.3406
Pa V Os
4 8 4
Cartesian
0.0000 0.0000 0.0000 Pa
0.0000 3.1703 3.1703 Pa
3.1703 0.0000 3.1703 Pa
3.1703 3.1703 0.0000 Pa
1.5851 1.5851 1.5851 V
1.5851 1.5851 4.7554 V
1.5851 4.7554 1.5851 V
1.5851 4.7554 4.7554 V
4.7554 1.5851 1.5851 V
4.7554 1.5851 4.7554 V
4.7554 4.7554 1.5851 V
4.7554 4.7554 4.7554 V
0.0000 0.0000 3.1703 Os
0.0000 3.1703 0.0000 Os
3.1703 0.0000 0.0000 Os
3.1703 3.1703 3.1703 Os
```

- uncorrected energy (eV/atom) = -9.805
- E above lowest polymorph (meV/atom) = 0.0
- formation energy from the elements (eV per atom) = -0.0639